# 1
BeMo2As2 | GGA-PBE | optimized geometry

Values from the calculation:
Energy relative to the lowest polymorph listed for this composition   0 meV/atom
Space group   P4/mbm, No. 127

Cell and atoms, written as POSCAR:
```
BeMo2As2
1.0
6.889 0.000 0.000
0.000 6.889 0.000
0.000 0.000 3.232
Be Mo As
2 4 4
direct
0.000 0.000 0.000
0.500 0.500 0.000
0.152 0.348 0.500
0.348 0.848 0.500
0.652 0.152 0.500
0.848 0.652 0.500
0.148 0.648 0.000
0.352 0.148 0.000
0.648 0.852 0.000
0.852 0.352 0.000
```

=====

# 2
CaPr12Y2 | GGA-PBE | optimized geometry

Values from the calculation:
Space group   Cmme, No. 67

Cell and atoms, written as POSCAR:
```
CaPr12Y2
1.0
3.632 -5.907 0.000
3.632 5.907 0.000
0.000 0.000 25.643
Ca Pr Y
2 24 4
direct
0.250 0.750 0.999
0.750 0.250 0.001
0.002 0.502 0.862
0.002 0.998 0.081
0.020 0.520 0.417
0.024 0.976 0.559
0.250 0.250 0.203
0.250 0.250 0.328
0.250 0.250 0.672
0.250 0.250 0.797
0.476 0.524 0.559
0.480 0.980 0.417
0.498 0.502 0.081
0.498 0.998 0.862
0.502 0.002 0.138
0.502 0.498 0.919
0.520 0.020 0.583
0.524 0.476 0.441
0.750 0.750 0.203
0.750 0.750 0.328
0.750 0.750 0.672
0.750 0.750 0.797
0.976 0.024 0.441
0.980 0.480 0.583
0.998 0.002 0.919
0.998 0.498 0.138
0.250 0.750 0.271
0.250 0.750 0.725
0.750 0.250 0.275
0.750 0.250 0.729
```

=====

Number 1: raw total energy -6.667 eV per atom, energy of formation 130 kJ/mol of formula units. Number 2: raw total energy -4.678 eV per atom, energy of formation 203 kJ/mol of formula units.